{
  "formula": "Ca3In2As4",
  "functional": "PBE-GGA",
  "state": "relaxed",
  "lattice_angstrom": [[4.375, 0.000, 0.000], [0.000, 6.666, 0.000], [0.000, 0.000, 16.232]],
  "species": ["Ca", "Ca", "Ca", "Ca", "Ca", "Ca", "In", "In", "In", "In", "As", "As", "As", "As", "As", "As", "As", "As"],
  "frac_coords": [[0.000, 0.280, 0.805], [0.500, 0.780, 0.695], [0.000, 0.720, 0.195], [0.500, 0.220, 0.305], [0.000, 0.000, 0.000], [0.500, 0.500, 0.500], [0.000, 0.860, 0.412], [0.500, 0.360, 0.088], [0.000, 0.140, 0.588], [0.500, 0.640, 0.912], [0.500, 0.240, 0.929], [0.500, 0.760, 0.071], [0.000, 0.227, 0.173], [0.000, 0.260, 0.429], [0.500, 0.727, 0.327], [0.000, 0.773, 0.827], [0.000, 0.740, 0.571], [0.500, 0.273, 0.673]],
  "formation_energy_mev_per_atom": -839
}

{
  "formula": "ScRhAu2",
  "functional": "PBE-GGA",
  "state": "relaxed",
  "lattice_angstrom": [[-1.945, 1.617, 4.523], [-2.884, -2.146, 3.733], [2.169, -1.190, 3.093]],
  "species": ["Sc", "Rh", "Au", "Au"],
  "frac_coords": [[0.250, 0.250, 0.250], [0.750, 0.750, 0.750], [0.000, 0.000, 0.000], [0.500, 0.500, 0.500]],
  "formation_energy_mev_per_atom": -635
}

{
  "formula": "KSb4S6",
  "functional": "PBE-GGA",
  "state": "relaxed",
  "lattice_angstrom": [[4.236, 0.000, 0.000], [0.000, 7.300, -4.215], [0.000, 0.000, 8.430]],
  "species": ["K", "Sb", "Sb", "Sb", "Sb", "S", "S", "S", "S", "S", "S"],
  "frac_coords": [[0.000, 0.000, 0.000], [0.500, 0.412, 0.206], [0.500, 0.794, 0.206], [0.000, 0.333, 0.667], [0.500, 0.794, 0.588], [0.500, 0.661, 0.831], [0.500, 0.169, 0.339], [0.000, 0.528, 0.056], [0.000, 0.528, 0.472], [0.000, 0.944, 0.472], [0.500, 0.169, 0.831]],
  "total_energy_ev_per_atom": -3.9440
}

{
  "formula": "CoCuH4",
  "functional": "PBE-GGA",
  "state": "relaxed",
  "lattice_angstrom": [[-4.210, -1.272, 1.230], [4.004, -2.816, 1.630], [0.367, 4.280, 1.785]],
  "species": ["Co", "Co", "Cu", "Cu", "H", "H", "H", "H", "H", "H", "H", "H"],
  "frac_coords": [[0.314, 0.064, 0.129], [0.686, 0.936, 0.871], [0.354, 0.604, 0.209], [0.646, 0.396, 0.791], [0.105, 0.176, 0.896], [0.739, 0.759, 0.574], [0.291, 0.720, 0.896], [0.335, 0.815, 0.574], [0.665, 0.185, 0.426], [0.709, 0.280, 0.104], [0.261, 0.241, 0.426], [0.895, 0.824, 0.104]],
  "total_energy_ev_per_atom": -3.9414
}

{
  "formula": "Fe2SiHgSe",
  "functional": "PBE-GGA",
  "state": "relaxed",
  "lattice_angstrom": [[4.439, 0.000, 0.000], [0.000, 5.167, 0.000], [0.000, 0.000, 4.439]],
  "species": ["Si", "Hg", "Se", "Fe", "Fe"],
  "frac_coords": [[0.000, 0.500, 0.000], [0.500, 0.500, 0.500], [0.000, 0.000, 0.000], [0.000, 0.000, 0.500], [0.500, 0.000, 0.000]],
  "total_energy_ev_per_atom": -4.4031
}

{
  "formula": "Sm4Dy5Mg",
  "functional": "PBE-GGA",
  "state": "relaxed",
  "lattice_angstrom": [[5.774, 0.000, 0.000], [2.887, 7.545, 0.000], [2.887, 0.000, 7.545]],
  "species": ["Sm", "Sm", "Sm", "Sm", "Dy", "Dy", "Dy", "Dy", "Dy", "Mg"],
  "frac_coords": [[0.463, 0.318, 0.682], [0.781, 0.682, 0.682], [0.145, 0.318, 0.318], [0.463, 0.682, 0.318], [0.766, 0.371, 0.000], [0.137, 0.000, 0.629], [0.766, 0.000, 0.371], [0.137, 0.629, 0.000], [0.666, 0.000, 0.000], [0.186, 0.000, 0.000]],
  "formation_energy_mev_per_atom": 188
}

{
  "formula": "MgSbAs",
  "functional": "PBE-GGA",
  "state": "relaxed",
  "lattice_angstrom": [[6.186, -0.099, 0.121], [4.099, 4.634, -0.121], [-5.059, -2.457, 2.581]],
  "species": ["As", "Mg", "Sb"],
  "frac_coords": [[0.060, 0.060, 0.000], [0.636, 0.636, 0.000], [0.304, 0.304, 0.000]],
  "total_energy_ev_per_atom": -3.5655
}

{
  "formula": "Ca2TcOs",
  "functional": "PBE-GGA",
  "state": "relaxed",
  "lattice_angstrom": [[-2.158, -4.004, 1.457], [4.237, -1.862, 1.182], [-1.338, 4.224, 1.785]],
  "species": ["Ca", "Ca", "Os", "Tc"],
  "frac_coords": [[0.000, 0.000, 0.000], [0.250, 0.750, 0.500], [0.500, 0.500, 0.000], [0.750, 0.250, 0.500]],
  "formation_energy_mev_per_atom": 620
}

{
  "formula": "BeAlHg2",
  "functional": "PBE-GGA",
  "state": "relaxed",
  "lattice_angstrom": [[-0.528, 2.948, 0.010], [-1.080, -0.466, 2.755], [7.548, 1.342, 3.185]],
  "species": ["Be", "Hg", "Hg", "Al"],
  "frac_coords": [[0.500, 0.500, 0.731], [0.000, 0.000, 0.944], [0.500, 0.500, 0.271], [0.000, 0.000, 0.554]],
  "formation_energy_mev_per_atom": 320
}

{
  "formula": "Pm5DyHg4",
  "functional": "PBE-GGA",
  "state": "relaxed",
  "lattice_angstrom": [[-0.449, 0.251, -3.738], [2.074, -3.118, -0.458], [-16.770, -11.338, 1.256]],
  "species": ["Pm", "Pm", "Pm", "Pm", "Pm", "Dy", "Hg", "Hg", "Hg", "Hg"],
  "frac_coords": [[0.500, 0.500, 0.119], [0.500, 0.500, 0.310], [0.500, 0.500, 0.500], [0.500, 0.500, 0.690], [0.500, 0.500, 0.881], [0.000, 0.000, 0.000], [0.000, 0.000, 0.212], [0.000, 0.000, 0.405], [0.000, 0.000, 0.595], [0.000, 0.000, 0.788]],
  "formation_energy_mev_per_atom": -366
}

{
  "formula": "AcHo7Er3",
  "functional": "PBE-GGA",
  "state": "relaxed",
  "lattice_angstrom": [[8.621, 0.000, 0.000], [0.000, 7.067, 0.000], [0.000, -3.533, 6.120]],
  "species": ["Ac", "Ho", "Ho", "Ho", "Ho", "Ho", "Ho", "Ho", "Er", "Er", "Er"],
  "frac_coords": [[0.448, 0.333, 0.667], [0.114, 0.167, 0.833], [0.114, 0.167, 0.334], [0.117, 0.667, 0.333], [0.448, 0.832, 0.168], [0.448, 0.336, 0.168], [0.448, 0.832, 0.664], [0.114, 0.666, 0.833], [0.788, 0.502, 0.498], [0.788, 0.502, 0.004], [0.788, 0.996, 0.498]],
  "formation_energy_mev_per_atom": 221
}

{
  "formula": "LiInIr3",
  "functional": "PBE-GGA",
  "state": "relaxed",
  "lattice_angstrom": [[4.221, 0.000, 0.000], [0.000, 4.221, 0.000], [0.000, 0.000, 4.221]],
  "species": ["Ir", "Ir", "Ir", "Li", "In"],
  "frac_coords": [[0.000, 0.500, 0.000], [0.000, 0.000, 0.500], [0.500, 0.000, 0.000], [0.000, 0.000, 0.000], [0.500, 0.500, 0.500]],
  "formation_energy_mev_per_atom": 678
}

{
  "formula": "CaOs4Au",
  "functional": "PBE-GGA",
  "state": "relaxed",
  "lattice_angstrom": [[0.000, 3.729, 3.729], [3.729, 0.000, 3.729], [3.729, 3.729, 0.000]],
  "species": ["Ca", "Os", "Os", "Os", "Os", "Au"],
  "frac_coords": [[0.000, 0.000, 0.000], [0.375, 0.874, 0.375], [0.874, 0.375, 0.375], [0.375, 0.375, 0.874], [0.375, 0.375, 0.375], [0.750, 0.750, 0.750]],
  "formation_energy_mev_per_atom": 515
}

{
  "formula": "TcHgPO2",
  "functional": "PBE-GGA",
  "state": "relaxed",
  "lattice_angstrom": [[-1.759, 3.346, -1.557], [-3.569, -1.104, 1.660], [1.180, 2.608, 4.274]],
  "species": ["P", "Hg", "O", "O", "Tc"],
  "frac_coords": [[0.000, 0.000, 0.500], [0.000, 0.000, 0.000], [0.000, 0.500, 0.000], [0.500, 0.000, 0.000], [0.500, 0.500, 0.500]],
  "total_energy_ev_per_atom": -4.1186
}

{
  "formula": "MnZnMo2",
  "functional": "PBE-GGA",
  "state": "relaxed",
  "lattice_angstrom": [[8.978, 0.003, 0.002], [8.555, 2.725, 0.002], [8.555, 1.331, 2.378]],
  "species": ["Mn", "Mo", "Mo", "Zn"],
  "frac_coords": [[0.749, 0.749, 0.749], [0.007, 0.007, 0.007], [0.250, 0.250, 0.250], [0.494, 0.494, 0.494]],
  "formation_energy_mev_per_atom": 313
}

{
  "formula": "ThPaCo",
  "functional": "PBE-GGA",
  "state": "relaxed",
  "lattice_angstrom": [[3.474, 0.000, 0.000], [0.000, 3.474, 0.000], [-1.737, -1.737, 5.683]],
  "species": ["Pa", "Co", "Th"],
  "frac_coords": [[0.289, 0.289, 0.578], [0.707, 0.707, 0.413], [0.004, 0.004, 0.009]],
  "formation_energy_mev_per_atom": -127
}

{
  "formula": "Tl2SbCl",
  "functional": "PBE-GGA",
  "state": "relaxed",
  "lattice_angstrom": [[-4.987, 2.072, -0.513], [-4.321, -2.939, 1.454], [-2.841, 1.357, 4.417]],
  "species": ["Cl", "Sb", "Tl", "Tl"],
  "frac_coords": [[0.500, 0.500, 0.500], [0.750, 0.750, 0.750], [0.000, 0.000, 0.000], [0.250, 0.250, 0.250]],
  "total_energy_ev_per_atom": -2.8056
}

{
  "formula": "NdPa4Mn3N12",
  "functional": "PBE-GGA",
  "state": "relaxed",
  "lattice_angstrom": [[7.075, 0.000, 0.000], [-2.358, 6.670, 0.000], [-2.358, -3.335, 5.776]],
  "species": ["Nd", "Pa", "Pa", "Pa", "Pa", "Mn", "Mn", "Mn", "N", "N", "N", "N", "N", "N", "N", "N", "N", "N", "N", "N"],
  "frac_coords": [[0.000, 0.000, 0.000], [0.500, 0.000, 0.000], [0.500, 0.500, 0.500], [0.000, 0.500, 0.000], [0.000, 0.000, 0.500], [0.000, 0.500, 0.500], [0.500, 0.500, 0.000], [0.500, 0.000, 0.500], [0.317, 0.845, 0.162], [0.683, 0.155, 0.838], [0.683, 0.845, 0.528], [0.838, 0.683, 0.155], [0.845, 0.162, 0.317], [0.155, 0.472, 0.317], [0.472, 0.317, 0.155], [0.155, 0.838, 0.683], [0.317, 0.155, 0.472], [0.162, 0.317, 0.845], [0.845, 0.528, 0.683], [0.528, 0.683, 0.845]],
  "total_energy_ev_per_atom": -9.2816
}

{
  "formula": "TaBe2Al",
  "functional": "PBE-GGA",
  "state": "relaxed",
  "lattice_angstrom": [[3.873, 0.000, 0.000], [0.000, 2.812, -0.008], [0.000, 0.013, 5.003]],
  "species": ["Be", "Be", "Al", "Ta"],
  "frac_coords": [[0.000, 0.750, 0.037], [0.000, 0.750, 0.463], [0.500, 0.750, 0.750], [0.500, 0.250, 0.250]],
  "formation_energy_mev_per_atom": 44
}

{
  "formula": "Hg2OsO5",
  "functional": "PBE-GGA",
  "state": "relaxed",
  "lattice_angstrom": [[3.856, 0.000, 0.000], [0.000, 7.285, 0.000], [0.000, 0.000, 17.110]],
  "species": ["Hg", "Hg", "Hg", "Hg", "Hg", "Hg", "Hg", "Hg", "Os", "Os", "Os", "Os", "O", "O", "O", "O", "O", "O", "O", "O", "O", "O", "O", "O", "O", "O", "O", "O", "O", "O", "O", "O"],
  "frac_coords": [[0.750, 0.380, 0.404], [0.750, 0.367, 0.752], [0.250, 0.133, 0.252], [0.250, 0.120, 0.904], [0.750, 0.880, 0.096], [0.750, 0.867, 0.748], [0.250, 0.633, 0.248], [0.250, 0.620, 0.596], [0.750, 0.373, 0.059], [0.250, 0.127, 0.559], [0.750, 0.873, 0.441], [0.250, 0.627, 0.941], [0.250, 0.386, 0.309], [0.250, 0.414, 0.034], [0.250, 0.438, 0.870], [0.250, 0.303, 0.477], [0.750, 0.196, 0.134], [0.250, 0.304, 0.634], [0.750, 0.197, 0.977], [0.750, 0.062, 0.370], [0.750, 0.086, 0.534], [0.750, 0.114, 0.809], [0.250, 0.886, 0.191], [0.250, 0.914, 0.466], [0.250, 0.938, 0.630], [0.250, 0.803, 0.023], [0.750, 0.696, 0.366], [0.250, 0.804, 0.866], [0.750, 0.697, 0.523], [0.750, 0.562, 0.130], [0.750, 0.586, 0.966], [0.750, 0.614, 0.691]],
  "total_energy_ev_per_atom": -5.0967
}

{
  "formula": "LaSi2Pt",
  "functional": "PBE-GGA",
  "state": "relaxed",
  "lattice_angstrom": [[3.359, 0.000, 0.000], [0.000, 3.360, 0.000], [0.000, 0.000, 6.781]],
  "species": ["La", "Pt", "Si", "Si"],
  "frac_coords": [[0.000, 0.000, 0.491], [0.500, 0.500, 0.831], [0.000, 0.000, 0.987], [0.500, 0.500, 0.191]],
  "total_energy_ev_per_atom": -5.9265
}

{
  "formula": "PuCuPb2",
  "functional": "PBE-GGA",
  "state": "relaxed",
  "lattice_angstrom": [[-3.305, -2.393, 1.854], [2.977, -1.560, 3.293], [-1.113, 3.660, 2.740]],
  "species": ["Pb", "Pb", "Cu", "Pu"],
  "frac_coords": [[0.000, 0.000, 0.500], [0.000, 0.500, 0.000], [0.500, 0.000, 0.000], [0.500, 0.500, 0.500]],
  "formation_energy_mev_per_atom": 47
}

{
  "formula": "HfH3Os",
  "functional": "PBE-GGA",
  "state": "relaxed",
  "lattice_angstrom": [[-1.090, 3.289, 1.044], [-3.297, -1.315, 0.701], [1.017, -0.740, 3.393]],
  "species": ["Hf", "Os", "H", "H", "H"],
  "frac_coords": [[0.000, 0.000, 0.000], [0.500, 0.500, 0.500], [0.000, 0.500, 0.000], [0.000, 0.000, 0.500], [0.500, 0.000, 0.000]],
  "total_energy_ev_per_atom": -5.6416
}

{
  "formula": "BaPu2PdO8",
  "functional": "PBE-GGA",
  "state": "relaxed",
  "lattice_angstrom": [[6.301, 0.000, 0.000], [-3.151, 5.457, 0.000], [0.000, 0.000, 6.914]],
  "species": ["Ba", "Pu", "Pu", "Pd", "O", "O", "O", "O", "O", "O", "O", "O"],
  "frac_coords": [[0.000, 0.000, 0.500], [0.333, 0.667, 0.768], [0.667, 0.333, 0.232], [0.000, 0.000, 0.000], [0.151, 0.302, 0.829], [0.151, 0.849, 0.829], [0.698, 0.849, 0.829], [0.302, 0.151, 0.171], [0.667, 0.333, 0.508], [0.333, 0.667, 0.492], [0.849, 0.698, 0.171], [0.849, 0.151, 0.171]],
  "total_energy_ev_per_atom": -8.1496
}

| no. | calculated volume (Å³ per atom) |
| --- | --- |
| 1 | 26.3 |
| 2 | 17.1 |
| 3 | 23.7 |
| 4 | 6.8 |
| 5 | 20.4 |
| 6 | 32.9 |
| 7 | 24.9 |
| 8 | 19.2 |
| 9 | 18.5 |
| 10 | 28.9 |
| 11 | 33.9 |
| 12 | 15.0 |
| 13 | 17.3 |
| 14 | 17.2 |
| 15 | 14.5 |
| 16 | 22.9 |
| 17 | 28.2 |
| 18 | 13.6 |
| 19 | 13.6 |
| 20 | 15.0 |
| 21 | 19.1 |
| 22 | 24.8 |
| 23 | 9.5 |
| 24 | 19.8 |